Entry 1:
# Sm2ScGa2 (GGA-PBE, relaxed)
data_Sm2ScGa2
_symmetry_space_group_name_H-M 'P 1'
_symmetry_Int_Tables_number 1
_symmetry_space_group_name_Hall 'P 1'
_cell_length_a 4.403
_cell_length_b 5.944
_cell_length_c 5.945
_cell_angle_alpha 64.16
_cell_angle_beta 68.26
_cell_angle_gamma 68.26
loop_
_atom_site_label
_atom_site_type_symbol
_atom_site_fract_x
_atom_site_fract_y
_atom_site_fract_z
_atom_site_occupancy
Sm1 Sm 0.704 0.796 0.296 1
Sm2 Sm 0.296 0.204 0.704 1
Sc1 Sc 0.500 0.500 0.000 1
Ga1 Ga 0.000 0.210 0.290 1
Ga2 Ga 0.000 0.790 0.710 1
# E_tot   -4.86 eV per atom
# V   25.192 A^3/atom
# N(E_F)   1.10 states/eV per atom


Entry 2:
# Sm3ScGa3 (GGA-PBE, relaxed)
data_Sm3ScGa3
_symmetry_space_group_name_H-M 'P 1'
_symmetry_Int_Tables_number 1
_symmetry_space_group_name_Hall 'P 1'
_cell_length_a 7.046
_cell_length_b 7.046
_cell_length_c 8.021
_cell_angle_alpha 95.54
_cell_angle_beta 95.54
_cell_angle_gamma 112.94
loop_
_atom_site_label
_atom_site_type_symbol
_atom_site_fract_x
_atom_site_fract_y
_atom_site_fract_z
_atom_site_occupancy
Sm1 Sm 0.656 0.656 0.383 1
Sm2 Sm 0.195 0.805 0.500 1
Sm3 Sm 0.805 0.195 0.500 1
Sm4 Sm 0.239 0.761 0.000 1
Sm5 Sm 0.761 0.239 0.000 1
Sm6 Sm 0.344 0.344 0.617 1
Sc1 Sc 0.724 0.724 0.995 1
Sc2 Sc 0.276 0.276 0.005 1
Ga1 Ga 0.027 0.027 0.242 1
Ga2 Ga 0.849 0.564 0.722 1
Ga3 Ga 0.564 0.849 0.722 1
Ga4 Ga 0.151 0.436 0.278 1
Ga5 Ga 0.436 0.151 0.278 1
Ga6 Ga 0.973 0.973 0.758 1
# E_tot   -4.63 eV per atom
# V   25.788 A^3/atom
# N(E_F)   0.96 states/eV per atom